Record 1
DFT (GGA-PBE) results for a relaxed structure of Rb2InSn4Au3.

abc: 4.8994 4.8994 11.8249
angles: 90.00 90.00 90.00
Element x y z (fractional)
Rb  0.0000  0.5000  0.2499
Rb  0.5000  0.0000  0.7501
In  0.0000  0.0000  0.5000
Sn  0.0000  0.0000  0.0000
Sn  0.0000  0.5000  0.6386
Sn  0.5000  0.0000  0.3614
Sn  0.5000  0.5000  0.0000
Au  0.0000  0.5000  0.8748
Au  0.5000  0.0000  0.1252
Au  0.5000  0.5000  0.5000

Results
For the density, the calculation gives 7.906 g/cm3. The formation energy from the elements comes out at -0.25 eV/atom. As for the total DFT energy (no corrections): -33.01 eV/cell.


Record 2
DFT (GGA-PBE) results for a relaxed structure of CsNaPb.

abc: 7.8290 7.8290 7.8290
angles: 148.59 148.59 45.01
Element x y z (fractional)
Cs  0.0000  0.0000  0.0000
Na  0.7193  0.7193  0.0000
Pb  0.3113  0.3113  0.0000

Results
For the density, the calculation gives 4.641 g/cm3. The formation energy from the elements comes out at -0.04 eV/atom. As for the total DFT energy (no corrections): -6.00 eV/cell. The polymorph energy (0 for the lowest one) is 0.055 eV per atom.


Record 3
DFT (GGA-PBE) results for a relaxed structure of SrLa2Hg8.

abc: 9.0623 9.0623 9.0623
angles: 145.53 131.98 60.44
Element x y z (fractional)
Sr  0.0000  0.0000  0.0000
La  0.3086  0.3086  0.0000
La  0.6914  0.6914  0.0000
Hg  0.1348  0.8493  0.2855
Hg  0.1593  0.6593  0.5000
Hg  0.2918  0.5000  0.7918
Hg  0.4362  0.1507  0.2855
Hg  0.5638  0.8493  0.7145
Hg  0.7082  0.5000  0.2082
Hg  0.8407  0.3407  0.5000
Hg  0.8652  0.1507  0.7145

Results
For the density, the calculation gives 10.549 g/cm3. The formation energy from the elements comes out at -0.39 eV/atom. As for the total DFT energy (no corrections): -18.20 eV/cell.


Record 4
DFT (GGA-PBE) results for a relaxed structure of LiMgAu2.

abc: 4.5994 4.5994 4.5994
angles: 60.00 60.00 60.00
Element x y z (fractional)
Li  0.0000  0.0000  0.0000
Mg  0.7500  0.7500  0.7500
Au  0.2500  0.2500  0.2500
Au  0.5000  0.5000  0.5000

Results
For the density, the calculation gives 10.262 g/cm3. The formation energy from the elements comes out at -0.49 eV/atom. As for the total DFT energy (no corrections): -12.04 eV/cell.


Record 5
DFT (GGA-PBE) results for a relaxed structure of K3Tb3RhO8.

abc: 7.4052 7.4052 7.4052
angles: 54.65 54.65 54.65
Element x y z (fractional)
K  0.0000  0.5000  0.5000
K  0.5000  0.0000  0.5000
K  0.5000  0.5000  0.0000
Tb  0.0000  0.0000  0.5000
Tb  0.0000  0.5000  0.0000
Tb  0.5000  0.0000  0.0000
Rh  0.5000  0.5000  0.5000
O  0.2281  0.2281  0.2281
O  0.2518  0.7115  0.7115
O  0.2885  0.2885  0.7482
O  0.2885  0.7482  0.2885
O  0.7115  0.2518  0.7115
O  0.7115  0.7115  0.2518
O  0.7482  0.2885  0.2885
O  0.7719  0.7719  0.7719

Results
For the density, the calculation gives 5.450 g/cm3. As for the total DFT energy (no corrections): -99.08 eV/cell. Its formation energy (no corrections) is -2325 meV per atom.


Record 6
DFT (GGA-PBE) results for a relaxed structure of La6CBr3N2.

abc: 6.6216 6.6216 7.8915
angles: 98.04 98.04 120.00
Element x y z (fractional)
La  0.1033  0.4395  0.8186
La  0.2241  0.2241  0.1810
La  0.4395  0.1033  0.8186
La  0.5605  0.8967  0.1814
La  0.7759  0.7759  0.8190
La  0.8967  0.5605  0.1814
C  0.5000  0.5000  0.0000
Br  0.0000  0.0000  0.5000
Br  0.3352  0.6648  0.5000
Br  0.6648  0.3352  0.5000
N  0.1669  0.8331  0.0000
N  0.8331  0.1669  0.0000

Results
For the density, the calculation gives 6.426 g/cm3. As for the total DFT energy (no corrections): -76.06 eV/cell. Its formation energy (no corrections) is -1300 meV per atom.


Record 7
DFT (GGA-PBE) results for a relaxed structure of ErCd6Pb.

abc: 4.8792 6.4811 6.4811
angles: 71.71 90.00 90.00
Element x y z (fractional)
Er  0.0000  0.0000  0.0000
Cd  0.0000  0.4513  0.4513
Cd  0.0000  0.5162  0.9239
Cd  0.0000  0.9239  0.5162
Cd  0.5000  0.3063  0.7232
Cd  0.5000  0.7232  0.3063
Cd  0.5000  0.8091  0.8091
Pb  0.5000  0.2316  0.2316

Results
For the density, the calculation gives 8.951 g/cm3. The formation energy from the elements comes out at -0.10 eV/atom. As for the total DFT energy (no corrections): -14.58 eV/cell.


Record 8
DFT (GGA-PBE) results for a relaxed structure of PmAlNi3.

abc: 5.7359 5.7359 11.6772
angles: 90.00 90.00 120.00
Element x y z (fractional)
Pm  0.0000  0.0000  0.0000
Pm  0.0000  0.0000  0.5000
Pm  0.3333  0.6667  0.2500
Pm  0.6667  0.3333  0.7500
Al  0.3333  0.6667  0.6392
Al  0.3333  0.6667  0.8608
Al  0.6667  0.3333  0.1392
Al  0.6667  0.3333  0.3608
Ni  0.0000  0.5000  0.0000
Ni  0.0000  0.5000  0.5000
Ni  0.1351  0.2702  0.7500
Ni  0.1351  0.8649  0.7500
Ni  0.2702  0.1351  0.2500
Ni  0.5000  0.0000  0.0000
Ni  0.5000  0.0000  0.5000
Ni  0.5000  0.5000  0.0000
Ni  0.5000  0.5000  0.5000
Ni  0.7298  0.8649  0.7500
Ni  0.8649  0.1351  0.2500
Ni  0.8649  0.7298  0.2500

Results
For the density, the calculation gives 6.948 g/cm3. The formation energy from the elements comes out at -0.24 eV/atom. As for the total DFT energy (no corrections): -108.20 eV/cell. The polymorph energy (0 for the lowest one) is 0.138 eV per atom.